# Fe2NiW, optimized geometry, DFT PBE
# **ΔH_f (0 K)**: 0.1142 eV/atom
# **Raw total energy**: -0.323 hartree per atom
# **DOS(E_F)**: 3.05 states/eV/f.u.
data_Fe2NiW
_cell_length_a 3.2717
_cell_length_b 4.0276
_cell_length_c 7.7666
_cell_angle_alpha 90.00
_cell_angle_beta 90.00
_cell_angle_gamma 90.00
_space_group_name_H-M_alt 'C m m m'
_space_group_IT_number 65
_space_group_name_Hall '-C 2 2'
loop_
_atom_site_label
_atom_site_fract_x
_atom_site_fract_y
_atom_site_fract_z
Fe1 0.0000 0.0000 0.2304
Ni1 0.0000 0.5000 0.0000
W1 0.0000 0.5000 0.5000

---

# Fe2NiW, optimized geometry, DFT PBE
# **ΔH_f (0 K)**: 0.1379 eV/atom
# **Raw total energy**: -0.323 hartree per atom
# **DOS(E_F)**: 6.38 states/eV/f.u.
data_Fe2NiW
_cell_length_a 5.7861
_cell_length_b 5.7861
_cell_length_c 5.7861
_cell_angle_alpha 90.00
_cell_angle_beta 90.00
_cell_angle_gamma 90.00
_space_group_name_H-M_alt 'F m -3 m'
_space_group_IT_number 225
_space_group_name_Hall '-F 4 2 3'
loop_
_atom_site_label
_atom_site_fract_x
_atom_site_fract_y
_atom_site_fract_z
Fe1 0.2500 0.2500 0.2500
Ni1 0.0000 0.0000 0.0000
W1 0.0000 0.0000 0.5000

---

# Fe2NiW, optimized geometry, DFT PBE
# **ΔH_f (0 K)**: 0.1629 eV/atom
# **Raw total energy**: -0.322 hartree per atom
# **DOS(E_F)**: 4.20 states/eV/f.u.
data_Fe2NiW
_cell_length_a 5.1843
_cell_length_b 7.3135
_cell_length_c 2.6343
_cell_angle_alpha 90.00
_cell_angle_beta 90.00
_cell_angle_gamma 90.00
_space_group_name_H-M_alt 'C m m m'
_space_group_IT_number 65
_space_group_name_Hall '-C 2 2'
loop_
_atom_site_label
_atom_site_fract_x
_atom_site_fract_y
_atom_site_fract_z
Fe1 0.2500 0.2500 0.0000
Ni1 0.0000 0.0000 0.5000
W1 0.0000 0.5000 0.5000

---

# Fe2NiW, optimized geometry, DFT PBE
# **ΔH_f (0 K)**: 0.0339 eV/atom
# **Raw total energy**: -0.326 hartree per atom
# **DOS(E_F)**: 3.98 states/eV/f.u.
data_Fe2NiW
_cell_length_a 3.6557
_cell_length_b 3.6557
_cell_length_c 7.2902
_cell_angle_alpha 90.00
_cell_angle_beta 90.00
_cell_angle_gamma 90.00
_space_group_name_H-M_alt 'I 4/m m m'
_space_group_IT_number 139
_space_group_name_Hall '-I 4 2'
loop_
_atom_site_label
_atom_site_fract_x
_atom_site_fract_y
_atom_site_fract_z
Fe1 0.0000 0.5000 0.2500
Ni1 0.0000 0.0000 0.0000
W1 0.0000 0.0000 0.5000

---

# Fe2NiW, optimized geometry, DFT PBE
# **ΔH_f (0 K)**: 0.0089 eV/atom
# **Raw total energy**: -0.327 hartree per atom
# **DOS(E_F)**: 3.11 states/eV/f.u.
data_Fe2NiW
_cell_length_a 3.6584
_cell_length_b 3.6584
_cell_length_c 3.5710
_cell_angle_alpha 90.00
_cell_angle_beta 90.00
_cell_angle_gamma 90.00
_space_group_name_H-M_alt 'P 4/m m m'
_space_group_IT_number 123
_space_group_name_Hall '-P 4 2'
loop_
_atom_site_label
_atom_site_fract_x
_atom_site_fract_y
_atom_site_fract_z
Fe1 0.0000 0.5000 0.0000
Ni1 0.0000 0.0000 0.5000
W1 0.5000 0.5000 0.5000

---

# YFeNi2, optimized geometry, DFT PBE
# **ΔH_f (0 K)**: -0.0042 eV/atom
# **Raw total energy**: -0.244 hartree per atom
# **DOS(E_F)**: 4.28 states/eV/f.u.
data_YFeNi2
_cell_length_a 3.9743
_cell_length_b 3.9743
_cell_length_c 3.7740
_cell_angle_alpha 90.00
_cell_angle_beta 90.00
_cell_angle_gamma 90.00
_space_group_name_H-M_alt 'P 4/m m m'
_space_group_IT_number 123
_space_group_name_Hall '-P 4 2'
loop_
_atom_site_label
_atom_site_fract_x
_atom_site_fract_y
_atom_site_fract_z
Y1 0.0000 0.0000 0.0000
Fe1 0.5000 0.5000 0.0000
Ni1 0.0000 0.5000 0.5000

---

# YFeNi2, optimized geometry, DFT PBE
# **ΔH_f (0 K)**: -0.0027 eV/atom
# **Raw total energy**: -0.243 hartree per atom
# **DOS(E_F)**: 3.94 states/eV/f.u.
data_YFeNi2
_cell_length_a 3.2233
_cell_length_b 3.9051
_cell_length_c 5.3287
_cell_angle_alpha 90.00
_cell_angle_beta 107.41
_cell_angle_gamma 90.00
_space_group_name_H-M_alt 'P 1 m 1'
_space_group_IT_number 6
_space_group_name_Hall 'P -2y'
loop_
_atom_site_label
_atom_site_fract_x
_atom_site_fract_y
_atom_site_fract_z
Y1 0.0000 0.0000 0.0000
Fe1 0.7156 0.5000 0.4260
Ni1 0.2613 0.0000 0.5137
Ni2 0.3995 0.5000 0.7964

---

# YFeNi3, optimized geometry, DFT PBE
# **ΔH_f (0 K)**: 0.2667 eV/atom
# **Raw total energy**: -0.227 hartree per atom
# **DOS(E_F)**: 5.15 states/eV/f.u.
data_YFeNi3
_cell_length_a 4.3670
_cell_length_b 4.3670
_cell_length_c 4.3670
_cell_angle_alpha 90.00
_cell_angle_beta 90.00
_cell_angle_gamma 90.00
_space_group_name_H-M_alt 'P m -3 m'
_space_group_IT_number 221
_space_group_name_Hall '-P 4 2 3'
loop_
_atom_site_label
_atom_site_fract_x
_atom_site_fract_y
_atom_site_fract_z
Y1 0.0000 0.0000 0.0000
Fe1 0.5000 0.5000 0.5000
Ni1 0.0000 0.5000 0.5000

---

# YFeNi3, optimized geometry, DFT PBE
# **ΔH_f (0 K)**: -0.1193 eV/atom
# **Raw total energy**: -0.242 hartree per atom
# **DOS(E_F)**: 4.28 states/eV/f.u.
data_YFeNi3
_cell_length_a 4.8840
_cell_length_b 8.0287
_cell_length_c 7.9855
_cell_angle_alpha 90.00
_cell_angle_beta 90.00
_cell_angle_gamma 90.00
_space_group_name_H-M_alt 'I m m a'
_space_group_IT_number 74
_space_group_name_Hall '-I 2b 2'
loop_
_atom_site_label
_atom_site_fract_x
_atom_site_fract_y
_atom_site_fract_z
Y1 0.0000 0.2500 0.0411
Fe1 0.0000 0.0000 0.5000
Ni1 0.0000 0.2500 0.6677
Ni2 0.2500 0.0052 0.7500

---

# YFeNi, optimized geometry, DFT PBE
# **ΔH_f (0 K)**: -0.2067 eV/atom
# **Raw total energy**: -0.261 hartree per atom
# **DOS(E_F)**: 2.59 states/eV/f.u.
data_YFeNi
_cell_length_a 4.9858
_cell_length_b 5.2220
_cell_length_c 7.3616
_cell_angle_alpha 90.00
_cell_angle_beta 90.00
_cell_angle_gamma 90.00
_space_group_name_H-M_alt 'I m m a'
_space_group_IT_number 74
_space_group_name_Hall '-I 2b 2'
loop_
_atom_site_label
_atom_site_fract_x
_atom_site_fract_y
_atom_site_fract_z
Y1 0.0000 0.2500 0.1218
Fe1 0.2500 0.2500 0.7500
Ni1 0.0000 0.0000 0.5000

---

# YFe2Ni, optimized geometry, DFT PBE
# **ΔH_f (0 K)**: 0.2263 eV/atom
# **Raw total energy**: -0.260 hartree per atom
# **DOS(E_F)**: 4.59 states/eV/f.u.
data_YFe2Ni
_cell_length_a 3.1228
_cell_length_b 4.3197
_cell_length_c 4.9276
_cell_angle_alpha 90.00
_cell_angle_beta 102.34
_cell_angle_gamma 90.00
_space_group_name_H-M_alt 'P 1 2/m 1'
_space_group_IT_number 10
_space_group_name_Hall '-P 2y'
loop_
_atom_site_label
_atom_site_fract_x
_atom_site_fract_y
_atom_site_fract_z
Y1 0.0000 0.0000 0.0000
Fe1 0.3302 0.5000 0.6915
Ni1 0.5000 0.0000 0.5000

---

# YFe2Ni, optimized geometry, DFT PBE
# **ΔH_f (0 K)**: 0.5637 eV/atom
# **Raw total energy**: -0.247 hartree per atom
# **DOS(E_F)**: 4.90 states/eV/f.u.
data_YFe2Ni
_cell_length_a 2.9766
_cell_length_b 2.9766
_cell_length_c 25.4754
_cell_angle_alpha 90.00
_cell_angle_beta 90.00
_cell_angle_gamma 120.00
_space_group_name_H-M_alt 'R -3 m'
_space_group_IT_number 166
_space_group_name_Hall '-R 3 2"'
loop_
_atom_site_label
_atom_site_fract_x
_atom_site_fract_y
_atom_site_fract_z
Y1 0.0000 0.0000 0.0000
Fe1 0.0000 0.0000 0.2360
Ni1 0.0000 0.0000 0.5000

---

# YFeNi2, optimized geometry, DFT PBE
# **ΔH_f (0 K)**: -0.2295 eV/atom
# **Raw total energy**: -0.252 hartree per atom
# **DOS(E_F)**: 2.86 states/eV/f.u.
data_YFeNi2
_cell_length_a 4.0494
_cell_length_b 4.0494
_cell_length_c 13.9175
_cell_angle_alpha 90.00
_cell_angle_beta 90.00
_cell_angle_gamma 120.00
_space_group_name_H-M_alt 'R -3 m'
_space_group_IT_number 166
_space_group_name_Hall '-R 3 2"'
loop_
_atom_site_label
_atom_site_fract_x
_atom_site_fract_y
_atom_site_fract_z
Y1 0.0000 0.0000 0.0000
Fe1 0.0000 0.0000 0.5000
Ni1 0.0000 0.0000 0.1997

---

# YFeNi2, optimized geometry, DFT PBE
# **ΔH_f (0 K)**: 0.0296 eV/atom
# **Raw total energy**: -0.242 hartree per atom
# **DOS(E_F)**: 3.72 states/eV/f.u.
data_YFeNi2
_cell_length_a 3.8241
_cell_length_b 3.8241
_cell_length_c 8.2499
_cell_angle_alpha 90.00
_cell_angle_beta 90.00
_cell_angle_gamma 90.00
_space_group_name_H-M_alt 'I -4 m 2'
_space_group_IT_number 119
_space_group_name_Hall 'I -4 -2'
loop_
_atom_site_label
_atom_site_fract_x
_atom_site_fract_y
_atom_site_fract_z
Y1 0.0000 0.0000 0.0000
Fe1 0.0000 0.5000 0.7500
Ni1 0.0000 0.0000 0.5000
Ni2 0.0000 0.5000 0.2500